YTi2Zn2 | PBE | relaxed

Its total moment is 0.0 μB/f.u. As for the energy of formation from the pure elements: -17 meV/atom.

The structure belongs to space group P4/mbm (No. 127); the cell edges are 7.742, 7.742 and 3.131 Å and the angles 90.00°, 90.00° and 90.00°. The distinct sites, in fractional coordinates, are Y at (0.000, 0.000, 0.000), Ti at (0.166, 0.334, 0.500) and Zn at (0.130, 0.630, 0.000).

YTiZn2 | PBE | relaxed

Its total moment is 2.5 μB/f.u. As for the energy of formation from the pure elements: 346 meV/atom.

The structure belongs to space group I-42d (No. 122); the cell edges are 4.401, 4.401 and 18.979 Å and the angles 90.00°, 90.00° and 90.00°. The distinct sites, in fractional coordinates, are Y at (0.000, 0.000, 0.000), Ti at (0.000, 0.000, 0.500) and Zn at (0.154, 0.250, 0.625).

Y2TiZn | PBE | relaxed

Its total moment is 2.7 μB/f.u. As for the energy of formation from the pure elements: 376 meV/atom.

The structure belongs to space group R-3m (No. 166, hexagonal axes); the cell edges are 3.3261, 3.3261 and 32.1587 Å and the angles 90.00°, 90.00° and 120.00°. The distinct sites, in fractional coordinates, are Y at (0.0000, 0.0000, 0.0932), Ti at (0.0000, 0.0000, 0.0000) and Zn at (0.0000, 0.0000, 0.5000).

Y2TiZn | PBE | relaxed

Its total moment is 1.1 μB/f.u. As for the energy of formation from the pure elements: 520 meV/atom.

The structure belongs to space group I-42d (No. 122); the cell edges are 4.381, 4.381 and 20.730 Å and the angles 90.00°, 90.00° and 90.00°. The distinct sites, in fractional coordinates, are Y at (0.244, 0.250, 0.125), Ti at (0.000, 0.000, 0.500) and Zn at (0.000, 0.000, 0.000).

Y2Ti2Zn | PBE | relaxed

Its total moment is 0.8 μB/f.u. As for the energy of formation from the pure elements: 138 meV/atom.

The structure belongs to space group P4/mbm (No. 127); the cell edges are 6.985, 6.985 and 4.693 Å and the angles 90.00°, 90.00° and 90.00°. The distinct sites, in fractional coordinates, are Y at (0.167, 0.333, 0.000), Ti at (0.135, 0.635, 0.500) and Zn at (0.000, 0.000, 0.500).

YTi2Zn | PBE | relaxed

Its total moment is 0.0 μB/f.u. As for the energy of formation from the pure elements: 504 meV/atom.

The structure belongs to space group I-42d (No. 122); the cell edges are 4.361, 4.361 and 19.760 Å and the angles 90.00°, 90.00° and 90.00°. The distinct sites, in fractional coordinates, are Y at (0.000, 0.000, 0.000), Ti at (0.012, 0.250, 0.625) and Zn at (0.000, 0.000, 0.500).

YTi3Zn | PBE | relaxed

Its total moment is 3.4 μB/f.u. As for the energy of formation from the pure elements: 577 meV/atom.

The structure belongs to space group Pm-3m (No. 221); the cell edges are 4.827, 4.827 and 4.827 Å and the angles 90.00°, 90.00° and 90.00°. The distinct sites, in fractional coordinates, are Y at (0.000, 0.000, 0.000), Ti at (0.000, 0.500, 0.500) and Zn at (0.500, 0.500, 0.500).

YTi2Zn2 | PBE | relaxed

Its total moment is 2.0 μB/f.u. As for the energy of formation from the pure elements: -40 meV/atom.

The structure belongs to space group P4/mbm (No. 127); the cell edges are 7.967, 7.967 and 2.938 Å and the angles 90.00°, 90.00° and 90.00°. The distinct sites, in fractional coordinates, are Y at (0.000, 0.000, 0.000), Ti at (0.113, 0.387, 0.000) and Zn at (0.180, 0.680, 0.500).

YTi2Zn2 | PBE | relaxed

Its total moment is 0.6 μB/f.u. As for the energy of formation from the pure elements: 141 meV/atom.

The structure belongs to space group I4/mmm (No. 139); the cell edges are 4.199, 4.199 and 11.402 Å and the angles 90.00°, 90.00° and 90.00°. The distinct sites, in fractional coordinates, are Y at (0.000, 0.000, 0.000), Ti at (0.000, 0.000, 0.387) and Zn at (0.000, 0.500, 0.250).

Y2TiZn | PBE | relaxed

Its total moment is 0.0 μB/f.u. As for the energy of formation from the pure elements: -31 meV/atom.

The structure belongs to space group P4/mmm (No. 123); the cell edges are 3.386, 3.386 and 8.253 Å and the angles 90.00°, 90.00° and 90.00°. The distinct sites, in fractional coordinates, are Y at (0.000, 0.000, 0.242), Ti at (0.500, 0.500, 0.500) and Zn at (0.500, 0.500, 0.000).

YTiZn | PBE | relaxed

Its total moment is 0.0 μB/f.u. As for the energy of formation from the pure elements: 133 meV/atom.

The structure belongs to space group C2/m (No. 12); the cell edges are 9.258, 3.120 and 9.985 Å and the angles 90.00°, 114.81° and 90.00°. The distinct sites, in fractional coordinates, are Y at (0.020, 0.000, 0.228), Ti at (0.169, 0.000, 0.564) and Zn at (0.172, 0.500, 0.067).

YTiZn | PBE | relaxed

Its total moment is 0.0 μB/f.u. As for the energy of formation from the pure elements: -53 meV/atom.

The structure belongs to space group I4mm (No. 107); the cell edges are 3.286, 3.286 and 11.543 Å and the angles 90.00°, 90.00° and 90.00°. The distinct sites, in fractional coordinates, are Y at (0.000, 0.000, 0.000), Ti at (0.000, 0.000, 0.313) and Zn at (0.000, 0.000, 0.686).

Y2ZrTi2 | PBE | relaxed

Its total moment is 0.0 μB/f.u. As for the energy of formation from the pure elements: 322 meV/atom.

The structure belongs to space group P4/mbm (No. 127); the cell edges are 8.281, 8.281 and 3.518 Å and the angles 90.00°, 90.00° and 90.00°. The distinct sites, in fractional coordinates, are Y at (0.176, 0.324, 0.000), Zr at (0.000, 0.000, 0.500) and Ti at (0.118, 0.618, 0.500).

YZrTi3 | PBE | relaxed

Its total moment is 1.7 μB/f.u. As for the energy of formation from the pure elements: 787 meV/atom.

The structure belongs to space group Pm-3m (No. 221); the cell edges are 4.924, 4.924 and 4.924 Å and the angles 90.00°, 90.00° and 90.00°. The distinct sites, in fractional coordinates, are Y at (0.000, 0.000, 0.000), Zr at (0.500, 0.500, 0.500) and Ti at (0.000, 0.500, 0.500).

YZrTi2 | PBE | relaxed

Its total moment is 2.0 μB/f.u. As for the energy of formation from the pure elements: 269 meV/atom.

The structure belongs to space group Fm-3m (No. 225); the cell edges are 7.066, 7.066 and 7.066 Å and the angles 90.00°, 90.00° and 90.00°. The distinct sites, in fractional coordinates, are Y at (0.000, 0.000, 0.000), Zr at (0.000, 0.000, 0.500) and Ti at (0.250, 0.250, 0.250).

YZr2Ti2 | PBE | relaxed

Its total moment is 0.0 μB/f.u. As for the energy of formation from the pure elements: 97 meV/atom.

The structure belongs to space group P4/mbm (No. 127); the cell edges are 8.130, 8.130 and 3.434 Å and the angles 90.00°, 90.00° and 90.00°. The distinct sites, in fractional coordinates, are Y at (0.000, 0.000, 0.000), Zr at (0.167, 0.333, 0.500) and Ti at (0.122, 0.622, 0.000).

YZrTi | PBE | relaxed

Its total moment is 0.0 μB/f.u. As for the energy of formation from the pure elements: 105 meV/atom.

The structure belongs to space group Pmmn (No. 59, origin choice 2); the cell edges are 3.220, 5.031 and 8.819 Å and the angles 90.00°, 90.00° and 90.00°. The distinct sites, in fractional coordinates, are Y at (0.250, 0.250, 0.116), Zr at (0.250, 0.250, 0.728) and Ti at (0.250, 0.750, 0.550).

YZrTi2 | PBE | relaxed

Its total moment is 1.6 μB/f.u. As for the energy of formation from the pure elements: 629 meV/atom.

The structure belongs to space group I-42d (No. 122); the cell edges are 7.702, 7.702 and 6.061 Å and the angles 90.00°, 90.00° and 90.00°. The distinct sites, in fractional coordinates, are Y at (0.000, 0.000, 0.000), Zr at (0.000, 0.000, 0.500) and Ti at (0.237, 0.250, 0.625).

YZr2Ti2 | PBE | relaxed

Its total moment is 0.0 μB/f.u. As for the energy of formation from the pure elements: 176 meV/atom.

The structure belongs to space group P4/mbm (No. 127); the cell edges are 8.197, 8.197 and 3.372 Å and the angles 90.00°, 90.00° and 90.00°. The distinct sites, in fractional coordinates, are Y at (0.000, 0.000, 0.000), Zr at (0.132, 0.368, 0.000) and Ti at (0.160, 0.660, 0.500).

YZrTi4 | PBE | relaxed

Its total moment is 8.0 μB/f.u. As for the energy of formation from the pure elements: 220 meV/atom.

The structure belongs to space group F-43m (No. 216); the cell edges are 8.005, 8.005 and 8.005 Å and the angles 90.00°, 90.00° and 90.00°. The distinct sites, in fractional coordinates, are Y at (0.000, 0.000, 0.000), Zr at (0.250, 0.250, 0.250) and Ti at (0.123, 0.123, 0.623).